Model 1:
AcIn2Hg: optimized geometry, GGA-PBE.

Summary:
SG = R-3m, No. 166
Crystal system = trigonal
Fermi-level density of states = 1.6 states/eV per cell

Cell: 4.8748 4.8748 6.4730 Å, 67.88 67.88 60.00°
Fractional coordinates of all 4 atoms:
Ac  0.0000  0.0000  0.0000
Hg  0.5000  0.5000  0.5000
In  0.7774  0.7774  0.6678
In  0.2226  0.2226  0.3322

Model 2:
AcIn2Hg: optimized geometry, GGA-PBE.

Summary:
SG = Cmcm, No. 63
Crystal system = orthorhombic
Fermi-level density of states = 5.5 states/eV per cell

Cell: 4.9399 9.5489 10.2598 Å, 90.00 90.00 104.99°
Fractional coordinates of all 16 atoms:
Ac  0.5000  0.0000  0.5000
Ac  0.5000  0.0000  0.0000
Ac  0.6957  0.3914  0.2500
Ac  0.3043  0.6086  0.7500
In  0.1030  0.2060  0.7500
In  0.0501  0.1003  0.2500
In  0.8970  0.7940  0.2500
In  0.9499  0.8997  0.7500
In  0.3090  0.6181  0.3973
In  0.6910  0.3819  0.6027
In  0.6910  0.3819  0.8973
In  0.3090  0.6181  0.1027
Hg  0.8533  0.7067  0.5307
Hg  0.1467  0.2933  0.0307
Hg  0.8533  0.7067  0.9693
Hg  0.1467  0.2933  0.4693

Model 3:
AcIn2Hg: optimized geometry, GGA-PBE.

Summary:
SG = P4/mmm, No. 123
Crystal system = tetragonal
Fermi-level density of states = 3.2 states/eV per cell

Cell: 3.9436 3.9436 7.5676 Å, 90.00 90.00 90.00°
Fractional coordinates of all 4 atoms:
Ac  0.5000  0.5000  0.5000
Hg  0.5000  0.5000  0.0000
In  0.0000  0.0000  0.7944
In  0.0000  0.0000  0.2056

Quick ranking, most stable first: model 2, model 1, model 3.

Model 1:
AcIn2Hg: optimized geometry, GGA-PBE.

Summary:
SG = Immm, No. 71
Crystal system = orthorhombic
Fermi-level density of states = 6.5 states/eV per cell

Cell: 4.9001 10.0796 11.1010 Å, 117.00 102.75 90.00°
Fractional coordinates of all 16 atoms:
Ac  0.7038  0.7038  0.4076
Ac  0.5000  0.2636  0.0000
Ac  0.5000  0.7364  0.0000
Ac  0.2962  0.2962  0.5924
In  0.9286  0.4286  0.8573
In  0.6896  0.3349  0.3793
In  0.6896  0.0444  0.3793
In  0.3104  0.6651  0.6207
In  0.0776  0.0776  0.1553
In  0.0714  0.5714  0.1427
In  0.9224  0.9224  0.8447
In  0.3104  0.9556  0.6207
Hg  0.8525  0.5887  0.7050
Hg  0.1475  0.4113  0.2950
Hg  0.1475  0.8836  0.2950
Hg  0.8525  0.1164  0.7050

Model 2:
AcIn2Hg: optimized geometry, GGA-PBE.

Summary:
SG = P4/mmm, No. 123
Crystal system = tetragonal
Fermi-level density of states = 3.4 states/eV per cell

Cell: 4.9932 4.8704 4.8704 Å, 90.00 90.00 90.00°
Fractional coordinates of all 4 atoms:
Ac  0.5000  0.5000  0.5000
Hg  0.5000  0.0000  0.0000
In  0.0000  0.0000  0.5000
In  0.0000  0.5000  0.0000

Model 3:
AcIn2Hg: optimized geometry, GGA-PBE.

Summary:
SG = Fm-3m, No. 225
Crystal system = cubic
Fermi-level density of states = 3.9 states/eV per cell

Cell: 5.5181 5.5181 5.5181 Å, 60.00 60.00 60.00°
Fractional coordinates of all 4 atoms:
Ac  0.0000  0.0000  0.0000
Hg  0.5000  0.5000  0.5000
In  0.2500  0.2500  0.2500
In  0.7500  0.7500  0.7500

Quick ranking, most stable first: model 1, model 2, model 3.